Entry 1:
Below is Sm2SiS after structural relaxation, with properties calculated at the PBE level.

Computed properties:
DOS(E_F): 0.675 states/eV/atom
Polymorph energy (0 for the lowest one): 0.72 eV/f.u.
M_tot: 0.000 Bohr magnetons per cell

abc: 4.054 4.054 21.476
angles: 90.00 90.00 120.00
Positions (direct):
Sm: 0.000 0.000 0.000
Sm: 0.000 0.000 0.174
Sm: 0.333 0.667 0.667
Sm: 0.333 0.667 0.840
Sm: 0.667 0.333 0.333
Sm: 0.667 0.333 0.507
Si: 0.000 0.000 0.587
Si: 0.333 0.667 0.253
Si: 0.667 0.333 0.920
S: 0.000 0.000 0.756
S: 0.333 0.667 0.423
S: 0.667 0.333 0.090

Entry 2:
Below is CrAg2Br after structural relaxation, with properties calculated at the PBE level.

Computed properties:
DOS(E_F): 0.353 states/eV/atom
Polymorph energy (0 for the lowest one): 0.58 eV/f.u.
M_tot: 4.688 Bohr magnetons per cell

abc: 3.942 3.942 5.314
angles: 90.00 90.00 90.00
Positions (direct):
Cr: 0.000 0.000 0.000
Ag: 0.000 0.500 0.500
Ag: 0.500 0.000 0.500
Br: 0.500 0.500 0.000

Entry 3:
Below is CaTbHoIn after structural relaxation, with properties calculated at the PBE level.

Computed properties:
DOS(E_F): 0.879 states/eV/atom
E_form: -0.13 eV/atom
M_tot: 0.000 Bohr magnetons per cell

abc: 7.763 7.763 7.763
angles: 90.00 90.00 90.00
Positions (direct):
Ca: 0.000 0.000 0.000
Ca: 0.000 0.500 0.500
Ca: 0.500 0.000 0.500
Ca: 0.500 0.500 0.000
Tb: 0.250 0.250 0.250
Tb: 0.250 0.750 0.750
Tb: 0.750 0.250 0.750
Tb: 0.750 0.750 0.250
Ho: 0.250 0.250 0.750
Ho: 0.250 0.750 0.250
Ho: 0.750 0.250 0.250
Ho: 0.750 0.750 0.750
In: 0.000 0.000 0.500
In: 0.000 0.500 0.000
In: 0.500 0.000 0.000
In: 0.500 0.500 0.500